(1)
# SiAs2Br2

An optimized crystal structure of SiAs2Br2 (PBE-GGA, Alexandria).

Space group = No. 139
Crystal system = tetragonal
Density = 3.62 g/cm3
E_tot = -3.369 eV per atom
M_tot = 0.000 μB per cell

Cell lengths 3.591, 3.591, 12.281 Å; angles 81.59, 81.59, 90.00 degrees
Fractional positions:
Br 0.432 0.432 0.137
Br 0.568 0.568 0.863
As 0.750 0.250 0.500
As 0.250 0.750 0.500
Si 0.000 0.000 0.000

(2)
# LiSiOsRh2

An optimized crystal structure of LiSiOsRh2 (PBE-GGA, Alexandria).

Space group = No. 123
Crystal system = tetragonal
Density = 8.23 g/cm3
E_tot = -6.159 eV per atom
M_tot = 1.513 μB per cell

Cell lengths 4.424, 4.445, 4.424 Å; angles 90.00, 90.00, 90.00 degrees
Fractional positions:
Rh 0.500 0.000 0.000
Rh 0.000 0.000 0.500
Si 0.000 0.000 0.000
Li 0.500 0.500 0.500
Os 0.000 0.500 0.000

(3)
# Cs2GaPd2

An optimized crystal structure of Cs2GaPd2 (PBE-GGA, Alexandria).

Space group = No. 127
Crystal system = tetragonal
DFT formation energy = 2.5 kJ/mol of atoms
Density = 6.40 g/cm3
M_tot = 0.000 μB per cell

Cell lengths 6.897, 6.897, 5.986 Å; angles 90.00, 90.00, 90.00 degrees
Fractional positions:
Cs 0.818 0.318 0.500
Cs 0.318 0.182 0.500
Cs 0.682 0.818 0.500
Cs 0.182 0.682 0.500
Ga 0.500 0.500 0.000
Ga 0.000 0.000 0.000
Pd 0.354 0.854 0.000
Pd 0.646 0.146 0.000
Pd 0.854 0.646 0.000
Pd 0.146 0.354 0.000

(4)
# AlHg3Br

An optimized crystal structure of AlHg3Br (PBE-GGA, Alexandria).

Space group = No. 221
Crystal system = cubic
Density = 7.78 g/cm3
E_tot = -1.349 eV per atom
M_tot = 0.000 μB per cell

Cell lengths 5.329, 5.329, 5.329 Å; angles 90.00, 90.00, 90.00 degrees
Fractional positions:
Hg 0.000 0.500 0.000
Hg 0.500 0.000 0.000
Hg 0.000 0.000 0.500
Br 0.500 0.500 0.500
Al 0.000 0.000 0.000

(5)
# La2ZrAs

An optimized crystal structure of La2ZrAs (PBE-GGA, Alexandria).

Space group = No. 71
Crystal system = orthorhombic
DFT formation energy = -30.5 kJ/mol of atoms
Density = 6.87 g/cm3
M_tot = 0.000 μB per cell

Cell lengths 7.130, 7.130, 4.473 Å; angles 71.69, 71.69, 29.92 degrees
Fractional positions:
Zr 0.250 0.250 0.250
La 0.444 0.444 0.556
La 0.056 0.056 0.944
As 0.750 0.750 0.750

(6)
# MnCo2Os

An optimized crystal structure of MnCo2Os (PBE-GGA, Alexandria).

Space group = No. 166
Crystal system = trigonal
DFT formation energy = 19.4 kJ/mol of atoms
Density = 12.16 g/cm3
M_tot = 5.492 μB per cell

Cell lengths 8.319, 8.319, 8.319 Å; angles 18.30, 18.30, 18.30 degrees
Fractional positions:
Mn 0.250 0.250 0.250
Co 0.998 0.998 0.998
Co 0.502 0.502 0.502
Os 0.750 0.750 0.750

(7)
# BaNb6O12

An optimized crystal structure of BaNb6O12 (PBE-GGA, Alexandria).

Space group = No. 148
Crystal system = trigonal
Density = 5.77 g/cm3
E_tot = -8.676 eV per atom
M_tot = 0.000 μB per cell

Cell lengths 8.871, 6.478, 6.478 Å; angles 79.20, 62.84, 117.16 degrees
Fractional positions:
O 0.764 0.108 0.320
O 0.440 0.788 0.359
O 0.345 0.428 0.892
O 0.236 0.892 0.680
O 0.201 0.641 0.148
O 0.655 0.572 0.108
O 0.560 0.212 0.641
O 0.916 0.680 0.428
O 0.084 0.320 0.572
O 0.651 0.852 0.788
O 0.799 0.359 0.852
O 0.349 0.148 0.212
Nb 0.859 0.296 0.514
Nb 0.373 0.514 0.190
Nb 0.563 0.190 0.296
Nb 0.627 0.486 0.810
Nb 0.141 0.704 0.486
Nb 0.437 0.810 0.704
Ba 0.000 0.000 0.000

(8)
# PmSiF

An optimized crystal structure of PmSiF (PBE-GGA, Alexandria).

Space group = No. 166
Crystal system = trigonal
Density = 5.84 g/cm3
E_tot = -6.068 eV per atom
M_tot = 0.000 μB per cell

Cell lengths 4.051, 4.056, 8.022 Å; angles 104.64, 90.00, 119.96 degrees
Fractional positions:
Si 0.838 0.677 0.015
Si 0.162 0.323 0.985
F 0.695 0.391 0.587
F 0.305 0.609 0.413
Pm 0.588 0.176 0.263
Pm 0.412 0.824 0.737

(9)
# La2Dy3Tm5

An optimized crystal structure of La2Dy3Tm5 (PBE-GGA, Alexandria).

Space group = No. 15
Crystal system = monoclinic
DFT formation energy = 20.8 kJ/mol of atoms
Density = 7.98 g/cm3
M_tot = 0.001 μB per cell

Cell lengths 10.649, 9.650, 11.224 Å; angles 129.37, 131.27, 64.48 degrees
Fractional positions:
Dy 0.299 0.532 0.753
Dy 0.701 0.468 0.247
Dy 0.045 0.778 0.247
Dy 0.774 0.024 0.047
Dy 0.226 0.976 0.953
Dy 0.955 0.222 0.753
Tm 0.003 0.253 0.506
Tm 0.419 0.149 0.749
Tm 0.581 0.851 0.251
Tm 0.997 0.747 0.494
Tm 0.169 0.400 0.251
Tm 0.249 0.499 0.997
Tm 0.467 0.717 0.434
Tm 0.831 0.600 0.749
Tm 0.751 0.501 0.003
Tm 0.533 0.283 0.566
La 0.208 0.001 0.253
La 0.455 0.748 0.747
La 0.545 0.252 0.253
La 0.792 0.999 0.747

(10)
# KBaRe2

An optimized crystal structure of KBaRe2 (PBE-GGA, Alexandria).

Space group = No. 47
Crystal system = orthorhombic
DFT formation energy = 129.5 kJ/mol of atoms
Density = 7.57 g/cm3
M_tot = 0.000 μB per cell

Cell lengths 2.927, 5.707, 7.207 Å; angles 90.00, 90.00, 90.00 degrees
Fractional positions:
K 0.500 0.500 0.750
Ba 0.500 0.500 0.250
Re 0.000 0.000 0.407
Re 0.000 0.000 0.093

(11)
# Pm8Te3Pb2

An optimized crystal structure of Pm8Te3Pb2 (PBE-GGA, Alexandria).

Space group = No. 12
Crystal system = monoclinic
Density = 7.10 g/cm3
E_tot = -4.840 eV per atom
M_tot = 0.015 μB per cell

Cell lengths 7.191, 8.550, 8.679 Å; angles 119.51, 98.24, 90.00 degrees
Fractional positions:
Pm 0.866 0.152 0.304
Pm 0.383 0.833 0.232
Pm 0.133 0.410 0.820
Pm 0.617 0.167 0.768
Pm 0.383 0.398 0.232
Pm 0.134 0.848 0.696
Pm 0.867 0.590 0.180
Pm 0.617 0.602 0.768
Te 0.500 0.000 0.000
Te 0.000 0.793 0.000
Te 0.000 0.207 0.000
Pb 0.333 0.245 0.489
Pb 0.667 0.755 0.511

(12)
# Tm3Co4B

An optimized crystal structure of Tm3Co4B (PBE-GGA, Alexandria).

Space group = No. 44
Crystal system = orthorhombic
DFT formation energy = -16.6 kJ/mol of atoms
Density = 10.12 g/cm3
M_tot = 0.051 μB per cell

Cell lengths 5.604, 5.604, 5.604 Å; angles 109.94, 93.20, 127.10 degrees
Fractional positions:
Co 0.058 0.755 0.303
Co 0.225 0.321 0.546
Co 0.225 0.679 0.904
Co 0.548 0.245 0.303
Tm 0.945 0.000 0.945
Tm 0.573 0.763 0.336
Tm 0.573 0.237 0.809
B 0.005 0.500 0.505

(13)
# Pr3ZnFe

An optimized crystal structure of Pr3ZnFe (PBE-GGA, Alexandria).

Space group = No. 221
Crystal system = cubic
DFT formation energy = 16.3 kJ/mol of atoms
Density = 6.19 g/cm3
M_tot = 0.218 μB per cell

Cell lengths 5.266, 5.266, 5.266 Å; angles 90.00, 90.00, 90.00 degrees
Fractional positions:
Fe 0.000 0.000 0.000
Zn 0.500 0.500 0.500
Pr 0.500 0.000 0.000
Pr 0.000 0.000 0.500
Pr 0.000 0.500 0.000

(14)
# CrAuCl2

An optimized crystal structure of CrAuCl2 (PBE-GGA, Alexandria).

Space group = No. 6
Crystal system = monoclinic
Density = 5.59 g/cm3
E_tot = -4.475 eV per atom
M_tot = 3.038 μB per cell

Cell lengths 3.271, 4.091, 7.376 Å; angles 74.39, 90.00, 90.00 degrees
Fractional positions:
Au 0.500 0.713 0.701
Cl 0.500 0.391 0.334
Cl 0.000 0.120 0.895
Cr 0.000 0.276 0.570

(15)
# K5Al

An optimized crystal structure of K5Al (PBE-GGA, Alexandria).

Space group = No. 216
Crystal system = cubic
DFT formation energy = 34.8 kJ/mol of atoms
Density = 1.07 g/cm3
M_tot = 0.526 μB per cell

Cell lengths 7.877, 7.877, 7.877 Å; angles 60.00, 60.00, 60.00 degrees
Fractional positions:
K 0.627 0.627 0.120
K 0.627 0.627 0.627
K 0.120 0.627 0.627
K 0.627 0.120 0.627
K 0.250 0.250 0.250
Al 0.000 0.000 0.000

(16)
# TaBe2Au

An optimized crystal structure of TaBe2Au (PBE-GGA, Alexandria).

Space group = No. 71
Crystal system = orthorhombic
DFT formation energy = 30.1 kJ/mol of atoms
Density = 11.34 g/cm3
M_tot = 0.000 μB per cell

Cell lengths 5.107, 5.107, 5.107 Å; angles 148.65, 122.10, 67.34 degrees
Fractional positions:
Be 0.013 0.013 0.000
Be 0.487 0.487 0.000
Au 0.250 0.750 0.500
Ta 0.750 0.250 0.500

(17)
# CsK2RbAg

An optimized crystal structure of CsK2RbAg (PBE-GGA, Alexandria).

Space group = No. 123
Crystal system = tetragonal
DFT formation energy = 4.7 kJ/mol of atoms
Density = 1.95 g/cm3
M_tot = 0.000 μB per cell

Cell lengths 6.934, 6.934, 7.149 Å; angles 90.00, 90.00, 90.00 degrees
Fractional positions:
K 0.500 0.000 0.000
K 0.000 0.500 0.000
Rb 0.000 0.000 0.500
Ag 0.000 0.000 0.000
Cs 0.500 0.500 0.500

(18)
# PHS

An optimized crystal structure of PHS (PBE-GGA, Alexandria).

Space group = No. 1
Crystal system = triclinic
Density = 1.73 g/cm3
E_tot = -4.327 eV per atom
M_tot = 0.000 μB per cell

Cell lengths 3.141, 4.249, 5.109 Å; angles 77.13, 89.94, 68.54 degrees
Fractional positions:
H 0.244 0.940 0.517
P 0.374 0.676 0.365
S 0.760 0.907 0.094

(19)
# VPbSe2

An optimized crystal structure of VPbSe2 (PBE-GGA, Alexandria).

Space group = No. 122
Crystal system = tetragonal
Density = 5.76 g/cm3
E_tot = -5.256 eV per atom
M_tot = 5.872 μB per cell

Cell lengths 6.704, 6.704, 7.138 Å; angles 61.99, 61.99, 90.00 degrees
Fractional positions:
V 0.250 0.750 0.500
V 0.500 0.500 0.000
Se 0.192 0.625 0.250
Se 0.875 0.808 0.750
Se 0.558 0.125 0.250
Se 0.375 0.442 0.750
Pb 0.750 0.250 0.500
Pb 0.000 0.000 0.000

(20)
# GaCoBr2

An optimized crystal structure of GaCoBr2 (PBE-GGA, Alexandria).

Space group = No. 122
Crystal system = tetragonal
Density = 4.96 g/cm3
E_tot = -3.474 eV per atom
M_tot = 0.001 μB per cell

Cell lengths 9.010, 9.010, 6.800 Å; angles 48.51, 48.51, 90.00 degrees
Fractional positions:
Co 0.500 0.500 0.000
Co 0.250 0.750 0.500
Ga 0.750 0.250 0.500
Ga 0.000 0.000 0.000
Br 0.283 0.625 0.250
Br 0.875 0.717 0.750
Br 0.375 0.533 0.750
Br 0.467 0.125 0.250